Record 1
# PBE BiAsSN2, optimized geometry
data_BiAsSN2
_chemical_formula_sum 'Bi1 As1 S1 N2'
_space_group_name_H-M_alt 'P 1'
_space_group_IT_number 1
_space_group_name_Hall 'P 1'
_cell_length_a 3.950
_cell_length_b 3.950
_cell_length_c 4.867
_cell_angle_alpha 90.00
_cell_angle_beta 90.00
_cell_angle_gamma 90.00
loop_
_atom_site_label
_atom_site_type_symbol
_atom_site_fract_x
_atom_site_fract_y
_atom_site_fract_z
Bi1 Bi 0.000 0.000 0.000
As1 As 0.500 0.500 0.500
S1 S 0.500 0.500 0.000
N1 N 0.000 0.500 0.500
N2 N 0.500 0.000 0.500
# crystal system: tetragonal
# space group: No. 123
# energy: -24.126 eV/cell
# ΔE to the lowest computed polymorph: 0.0 meV per atom
# formation energy without anion corrections: 1.0365 eV per atom

***

Record 2
# PBE BiSbAsN2, optimized geometry
data_BiSbAsN2
_chemical_formula_sum 'Bi1 Sb1 As1 N2'
_space_group_name_H-M_alt 'P 1'
_space_group_IT_number 1
_space_group_name_Hall 'P 1'
_cell_length_a 4.193
_cell_length_b 4.193
_cell_length_c 5.414
_cell_angle_alpha 90.00
_cell_angle_beta 90.00
_cell_angle_gamma 90.00
loop_
_atom_site_label
_atom_site_type_symbol
_atom_site_fract_x
_atom_site_fract_y
_atom_site_fract_z
Bi1 Bi 0.000 0.000 0.000
Sb1 Sb 0.500 0.500 0.000
As1 As 0.500 0.500 0.500
N1 N 0.000 0.500 0.500
N2 N 0.500 0.000 0.500
# crystal system: tetragonal
# space group: No. 123
# energy: -22.242 eV/cell
# formation energy without anion corrections: 1.4123 eV per atom

***

Record 3
# PBE Sc2BiAsN, optimized geometry
data_Sc2BiAsN
_chemical_formula_sum 'Sc2 Bi1 As1 N1'
_space_group_name_H-M_alt 'P 1'
_space_group_IT_number 1
_space_group_name_Hall 'P 1'
_cell_length_a 5.497
_cell_length_b 5.497
_cell_length_c 5.207
_cell_angle_alpha 90.00
_cell_angle_beta 90.00
_cell_angle_gamma 90.00
loop_
_atom_site_label
_atom_site_type_symbol
_atom_site_fract_x
_atom_site_fract_y
_atom_site_fract_z
Sc1 Sc 0.000 0.500 0.000
Sc2 Sc 0.500 0.000 0.000
Bi1 Bi 0.000 0.000 0.000
As1 As 0.000 0.000 0.500
N1 N 0.500 0.500 0.500
# crystal system: tetragonal
# space group: No. 123
# energy: -21.410 eV/cell
# formation energy without anion corrections: 1.6219 eV per atom

***

Record 4
# PBE BiAsSeN2, optimized geometry
data_BiAsSeN2
_chemical_formula_sum 'Bi1 As1 Se1 N2'
_space_group_name_H-M_alt 'P 1'
_space_group_IT_number 1
_space_group_name_Hall 'P 1'
_cell_length_a 4.271
_cell_length_b 4.271
_cell_length_c 5.828
_cell_angle_alpha 90.00
_cell_angle_beta 90.00
_cell_angle_gamma 90.00
loop_
_atom_site_label
_atom_site_type_symbol
_atom_site_fract_x
_atom_site_fract_y
_atom_site_fract_z
Bi1 Bi 0.000 0.000 0.000
As1 As 0.500 0.500 0.500
Se1 Se 0.000 0.000 0.500
N1 N 0.000 0.500 0.000
N2 N 0.500 0.000 0.000
# crystal system: tetragonal
# space group: No. 123
# energy: -20.220 eV/cell
# ΔE to the lowest computed polymorph: 536.0 meV per atom
# formation energy without anion corrections: 1.6891 eV per atom

***

Record 5
# PBE BiAs2SeN, optimized geometry
data_BiAs2SeN
_chemical_formula_sum 'Bi1 As2 Se1 N1'
_space_group_name_H-M_alt 'P 1'
_space_group_IT_number 1
_space_group_name_Hall 'P 1'
_cell_length_a 4.501
_cell_length_b 4.501
_cell_length_c 4.658
_cell_angle_alpha 90.00
_cell_angle_beta 90.00
_cell_angle_gamma 90.00
loop_
_atom_site_label
_atom_site_type_symbol
_atom_site_fract_x
_atom_site_fract_y
_atom_site_fract_z
Bi1 Bi 0.000 0.000 0.000
As1 As 0.000 0.500 0.500
As2 As 0.500 0.000 0.500
Se1 Se 0.500 0.500 0.000
N1 N 0.500 0.500 0.500
# crystal system: tetragonal
# space group: No. 123
# energy: -21.560 eV/cell
# ΔE to the lowest computed polymorph: 0.0 meV per atom
# formation energy without anion corrections: 0.6860 eV per atom

***

Record 6
# PBE BiAsSeN2, optimized geometry
data_BiAsSeN2
_chemical_formula_sum 'Bi1 As1 Se1 N2'
_space_group_name_H-M_alt 'P 1'
_space_group_IT_number 1
_space_group_name_Hall 'P 1'
_cell_length_a 4.050
_cell_length_b 4.050
_cell_length_c 5.118
_cell_angle_alpha 90.00
_cell_angle_beta 90.00
_cell_angle_gamma 90.00
loop_
_atom_site_label
_atom_site_type_symbol
_atom_site_fract_x
_atom_site_fract_y
_atom_site_fract_z
Bi1 Bi 0.000 0.000 0.000
As1 As 0.500 0.500 0.500
Se1 Se 0.500 0.500 0.000
N1 N 0.000 0.500 0.500
N2 N 0.500 0.000 0.500
# crystal system: tetragonal
# space group: No. 123
# energy: -22.900 eV/cell
# ΔE to the lowest computed polymorph: 0.0 meV per atom
# formation energy without anion corrections: 1.1531 eV per atom

***

Record 7
# PBE BiAs2SeN, optimized geometry
data_BiAs2SeN
_chemical_formula_sum 'Bi1 As2 Se1 N1'
_space_group_name_H-M_alt 'P 1'
_space_group_IT_number 1
_space_group_name_Hall 'P 1'
_cell_length_a 5.503
_cell_length_b 5.503
_cell_length_c 5.394
_cell_angle_alpha 90.00
_cell_angle_beta 90.00
_cell_angle_gamma 90.00
loop_
_atom_site_label
_atom_site_type_symbol
_atom_site_fract_x
_atom_site_fract_y
_atom_site_fract_z
Bi1 Bi 0.000 0.000 0.000
As1 As 0.000 0.500 0.000
As2 As 0.500 0.000 0.000
Se1 Se 0.000 0.000 0.500
N1 N 0.500 0.500 0.500
# crystal system: tetragonal
# space group: No. 123
# energy: -13.668 eV/cell
# ΔE to the lowest computed polymorph: 1578.4 meV per atom
# formation energy without anion corrections: 2.2644 eV per atom

***

Record 8
# PBE Sm3BiAsN, optimized geometry
data_Sm3BiAsN
_chemical_formula_sum 'Sm6 Bi2 As2 N2'
_space_group_name_H-M_alt 'P 1'
_space_group_IT_number 1
_space_group_name_Hall 'P 1'
_cell_length_a 9.037
_cell_length_b 4.221
_cell_length_c 9.484
_cell_angle_alpha 90.00
_cell_angle_beta 101.31
_cell_angle_gamma 90.00
loop_
_atom_site_label
_atom_site_type_symbol
_atom_site_fract_x
_atom_site_fract_y
_atom_site_fract_z
Sm1 Sm 0.082 0.250 0.352
Sm2 Sm 0.345 0.250 0.986
Sm3 Sm 0.383 0.750 0.666
Sm4 Sm 0.617 0.250 0.334
Sm5 Sm 0.655 0.750 0.014
Sm6 Sm 0.918 0.750 0.648
Bi1 Bi 0.325 0.750 0.286
Bi2 Bi 0.675 0.250 0.714
As1 As 0.148 0.250 0.661
As2 As 0.852 0.750 0.339
N1 N 0.410 0.750 0.902
N2 N 0.590 0.250 0.098
# crystal system: monoclinic
# space group: No. 11
# energy: -76.421 eV/cell
# formation energy without anion corrections: -1.1995 eV per atom

***

Record 9
# PBE Sr4BiAsN, optimized geometry
data_Sr4BiAsN
_chemical_formula_sum 'Sr8 Bi2 As2 N2'
_space_group_name_H-M_alt 'P 1'
_space_group_IT_number 1
_space_group_name_Hall 'P 1'
_cell_length_a 9.153
_cell_length_b 9.153
_cell_length_c 7.180
_cell_angle_alpha 90.00
_cell_angle_beta 90.00
_cell_angle_gamma 133.91
loop_
_atom_site_label
_atom_site_type_symbol
_atom_site_fract_x
_atom_site_fract_y
_atom_site_fract_z
Sr1 Sr 0.000 0.500 0.000
Sr2 Sr 0.000 0.500 0.500
Sr3 Sr 0.078 0.922 0.750
Sr4 Sr 0.409 0.591 0.750
Sr5 Sr 0.500 0.000 0.000
Sr6 Sr 0.500 0.000 0.500
Sr7 Sr 0.591 0.409 0.250
Sr8 Sr 0.922 0.078 0.250
Bi1 Bi 0.392 0.608 0.250
Bi2 Bi 0.608 0.392 0.750
As1 As 0.117 0.883 0.250
As2 As 0.883 0.117 0.750
N1 N 0.252 0.748 0.750
N2 N 0.748 0.252 0.250
# crystal system: orthorhombic
# space group: No. 63
# energy: -59.042 eV/cell
# formation energy without anion corrections: -0.8483 eV per atom

***

Record 10
# PBE Sr6Bi2AsN, optimized geometry
data_Sr6Bi2AsN
_chemical_formula_sum 'Sr12 Bi4 As2 N2'
_space_group_name_H-M_alt 'P 1'
_space_group_IT_number 1
_space_group_name_Hall 'P 1'
_cell_length_a 7.796
_cell_length_b 7.899
_cell_length_c 13.560
_cell_angle_alpha 90.00
_cell_angle_beta 124.97
_cell_angle_gamma 90.00
loop_
_atom_site_label
_atom_site_type_symbol
_atom_site_fract_x
_atom_site_fract_y
_atom_site_fract_z
Sr1 Sr 0.155 0.221 0.466
Sr2 Sr 0.155 0.279 0.966
Sr3 Sr 0.243 0.691 0.465
Sr4 Sr 0.243 0.809 0.965
Sr5 Sr 0.299 0.016 0.234
Sr6 Sr 0.299 0.484 0.734
Sr7 Sr 0.701 0.516 0.266
Sr8 Sr 0.701 0.984 0.766
Sr9 Sr 0.757 0.191 0.035
Sr10 Sr 0.757 0.309 0.535
Sr11 Sr 0.845 0.721 0.034
Sr12 Sr 0.845 0.779 0.534
Bi1 Bi 0.241 0.040 0.750
Bi2 Bi 0.241 0.460 0.250
Bi3 Bi 0.759 0.540 0.750
Bi4 Bi 0.759 0.960 0.250
As1 As 0.500 0.000 0.500
As2 As 0.500 0.500 0.000
N1 N 0.000 0.000 0.000
N2 N 0.000 0.500 0.500
# crystal system: monoclinic
# space group: No. 14
# energy: -79.816 eV/cell
# formation energy without anion corrections: -0.9080 eV per atom

***

Record 11
# PBE BiTeAsN2, optimized geometry
data_BiTeAsN2
_chemical_formula_sum 'Bi1 Te1 As1 N2'
_space_group_name_H-M_alt 'P 1'
_space_group_IT_number 1
_space_group_name_Hall 'P 1'
_cell_length_a 4.272
_cell_length_b 4.272
_cell_length_c 6.912
_cell_angle_alpha 90.00
_cell_angle_beta 90.00
_cell_angle_gamma 90.00
loop_
_atom_site_label
_atom_site_type_symbol
_atom_site_fract_x
_atom_site_fract_y
_atom_site_fract_z
Bi1 Bi 0.000 0.000 0.000
Te1 Te 0.000 0.000 0.500
As1 As 0.500 0.500 0.500
N1 N 0.000 0.500 0.000
N2 N 0.500 0.000 0.000
# crystal system: tetragonal
# space group: No. 123
# energy: -20.120 eV/cell
# ΔE to the lowest computed polymorph: 237.4 meV per atom
# formation energy without anion corrections: 1.6406 eV per atom

***

Record 12
# PBE BiTe2AsN, optimized geometry
data_BiTe2AsN
_chemical_formula_sum 'Bi1 Te2 As1 N1'
_space_group_name_H-M_alt 'P 1'
_space_group_IT_number 1
_space_group_name_Hall 'P 1'
_cell_length_a 5.930
_cell_length_b 5.930
_cell_length_c 4.189
_cell_angle_alpha 90.00
_cell_angle_beta 90.00
_cell_angle_gamma 90.00
loop_
_atom_site_label
_atom_site_type_symbol
_atom_site_fract_x
_atom_site_fract_y
_atom_site_fract_z
Bi1 Bi 0.000 0.000 0.000
Te1 Te 0.000 0.500 0.000
Te2 Te 0.500 0.000 0.000
As1 As 0.500 0.500 0.500
N1 N 0.000 0.000 0.500
# crystal system: tetragonal
# space group: No. 123
# energy: -16.830 eV/cell
# ΔE to the lowest computed polymorph: 609.9 meV per atom
# formation energy without anion corrections: 1.2618 eV per atom

***

Let's list magnetization in order: 0.0, 1.4, 0.0, 1.0, 0.0, 1.0, 0.0, 0.0, 0.0, 0.0, 2.6, 0.0 μB/cell.